DFT (PBE-GGA) results for YSn2BiO7 after structural relaxation.

Cell and atoms, written as CIF:
```
data_YSn2BiO7
_chemical_formula_sum 'Y4 Sn8 Bi4 O28'
_cell_length_a 7.482
_cell_length_b 7.535
_cell_length_c 10.630
_cell_angle_alpha 90.00
_cell_angle_beta 90.00
_cell_angle_gamma 90.00
_space_group_name_H-M_alt 'I m m a'
_space_group_IT_number 74
_space_group_name_Hall '-I 2b 2'
loop_
_atom_site_label
_atom_site_fract_x
_atom_site_fract_y
_atom_site_fract_z
_atom_site_occupancy
Y1 0.000 0.000 0.000 1
Sn1 0.000 0.000 0.500 1
Sn2 0.250 0.250 0.250 1
Bi1 0.250 0.250 0.750 1
O1 0.000 0.250 0.164 1
O2 0.000 0.250 0.585 1
O3 0.000 0.250 0.883 1
O4 0.214 0.042 0.377 1
```

Computed properties:
E_form (uncorrected): -2.029 eV/atom
magnetic moment: 0.00 μB/f.u.
volume: 13.6 Å³/atom